1.
This record from Alexandria via LeMat-Bulk describes crystalline CdCu2W at its relaxed geometry. The functional is PBE-GGA.

Cell: 2.7987 2.7987 7.6524 Å, 90.00 90.00 90.00°
With the nearest neighbours (Å) after each atom.
Element x y z (fractional)
Cd1 0.0000 0.0000 0.0000  4 Cd 2.80, 4 Cu 2.82, 4 W 3.03
Cu1 0.0000 0.0000 0.4659  8 Cu 2.52-2.80, 4 W 2.67
Cu2 0.5000 0.5000 0.2628  8 Cu 2.52-2.80
W1 0.5000 0.5000 0.7001  4 Cu 2.67, 4 W 2.80

## Properties
- Density: 11.73 g/cm³
- Symmetry: P4mm
- D(E_F): 1.3 states/eV/cell
- Total DFT energy (no corrections): -5.2193 eV/atom
- ΔE_f: 0.296 eV per atom

***

2.
This record from Alexandria via LeMat-Bulk describes crystalline AlTeOs at its relaxed geometry. The functional is PBE-GGA.

Cell: 4.5295 4.5295 3.0727 Å, 90.00 90.00 120.00°
With the nearest neighbours (Å) after each atom.
Element x y z (fractional)
Al1 0.0000 0.0000 0.0000  6 Te 3.03, 6 Os 3.03, 2 Al 3.07
Te1 0.3333 0.6667 0.5000  3 Os 2.62
Os1 0.6667 0.3333 0.5000  3 Te 2.62

## Properties
- Density: 10.49 g/cm³
- Symmetry: P-6m2
- Excess energy over the best structure of this formula in the dataset: 38.6 kJ/mol of atoms
- D(E_F): 2.7 states/eV/cell
- Total DFT energy (no corrections): -5.5295 eV/atom
- E_form (uncorrected): 0.508 eV/atom

***

3.
This record from Alexandria via LeMat-Bulk describes crystalline PaTl2Hg2I6 at its relaxed geometry. The functional is PBE-GGA.

Cell: 8.5795 8.5795 9.9430 Å, 99.17 99.17 120.86°
With the nearest neighbours (Å) after each atom.
Element x y z (fractional)
Pa1 0.0000 0.0000 0.0000  6 I 3.05
Tl1 0.3327 0.6673 0.0000  6 I 3.52-3.55
Tl2 0.6673 0.3327 0.0000  6 I 3.52-3.55
Hg1 0.1861 0.8139 0.5000  6 I 4.12-4.14
Hg2 0.8139 0.1861 0.5000  6 I 4.12-4.14
I1 0.0717 0.3599 0.1891  1 Pa 3.05
I2 0.2223 0.2223 0.8119  1 Pa 3.05
I3 0.3599 0.0717 0.1891  1 Pa 3.05
I4 0.6401 0.9283 0.8109  1 Pa 3.05
I5 0.7777 0.7777 0.1881  1 Pa 3.05
I6 0.9283 0.6401 0.8109  1 Pa 3.05

## Properties
- Density: 5.03 g/cm³
- Symmetry: C2/m
- D(E_F): 0.9 states/eV/cell
- Total DFT energy (no corrections): -2.8714 eV/atom
- E_form (uncorrected): -0.678 eV/atom